[1]
A plane-wave DFT calculation with GGA-PBE was carried out for a relaxed PaNbRu2 crystal.

Results
calculated volume	17.86	A^3/atom
relative energy among the computed polymorphs	0	meV per atom
total magnetic moment	0.00	μB per formula unit

Cell and atoms, written as POSCAR:
```
PaNbRu2
1.0
3.114 0.000 0.000
0.000 3.114 0.000
0.000 0.000 7.365
Pa Nb Ru
1 1 2
direct
0.000 0.000 0.000 Pa
0.000 0.000 0.500 Nb
0.500 0.500 0.286 Ru
0.500 0.500 0.714 Ru
```

[2]
A plane-wave DFT calculation with GGA-PBE was carried out for a relaxed Pa2NbRu crystal.

Results
calculated volume	21.16	A^3/atom
relative energy among the computed polymorphs	0	meV per atom
total magnetic moment	0.00	μB per formula unit

Cell and atoms, written as POSCAR:
```
Pa2NbRu
1.0
3.571 0.000 0.000
0.000 3.571 0.000
0.000 0.000 6.638
Pa Nb Ru
2 1 1
direct
0.000 0.000 0.226 Pa
0.000 0.000 0.774 Pa
0.500 0.500 0.500 Nb
0.500 0.500 0.000 Ru
```

[3]
A plane-wave DFT calculation with GGA-PBE was carried out for a relaxed PaNbRu2 crystal.

Results
calculated volume	18.19	A^3/atom
relative energy among the computed polymorphs	100	meV per atom
total magnetic moment	0.00	μB per formula unit

Cell and atoms, written as POSCAR:
```
PaNbRu2
1.0
2.347 1.355 3.813
-2.347 1.355 3.813
0.000 -2.710 3.813
Pa Nb Ru
1 1 2
direct
0.000 0.000 0.000 Pa
0.500 0.500 0.500 Nb
0.231 0.231 0.231 Ru
0.769 0.769 0.769 Ru
```

[4]
A plane-wave DFT calculation with GGA-PBE was carried out for a relaxed Pa2NbSi2Ru5 crystal.

Results
calculated volume	16.82	A^3/atom
total magnetic moment	0.00	μB per formula unit
formation energy (no corrections)	-0.548	eV per atom

Cell and atoms, written as POSCAR:
```
Pa2NbSi2Ru5
1.0
9.821 0.000 0.000
0.000 9.821 0.000
0.000 0.000 3.487
Pa Nb Si Ru
4 2 4 10
direct
0.176 0.324 0.000 Pa
0.324 0.824 0.000 Pa
0.676 0.176 0.000 Pa
0.824 0.676 0.000 Pa
0.000 0.000 0.000 Nb
0.500 0.500 0.000 Nb
0.122 0.622 0.000 Si
0.378 0.122 0.000 Si
0.622 0.878 0.000 Si
0.878 0.378 0.000 Si
0.000 0.500 0.500 Ru
0.072 0.788 0.500 Ru
0.212 0.072 0.500 Ru
0.288 0.572 0.500 Ru
0.428 0.288 0.500 Ru
0.500 0.000 0.500 Ru
0.572 0.712 0.500 Ru
0.712 0.428 0.500 Ru
0.788 0.928 0.500 Ru
0.928 0.212 0.500 Ru
```

[5]
A plane-wave DFT calculation with GGA-PBE was carried out for a relaxed PaNbSi2Ru5 crystal.

Results
calculated volume	15.76	A^3/atom
total magnetic moment	0.54	μB per formula unit
formation energy (no corrections)	-0.530	eV per atom

Cell and atoms, written as POSCAR:
```
PaNbSi2Ru5
1.0
4.076 0.000 0.000
0.000 4.076 0.000
0.000 0.000 8.537
Pa Nb Si Ru
1 1 2 5
direct
0.000 0.000 0.000 Pa
0.000 0.000 0.500 Nb
0.500 0.500 0.139 Si
0.500 0.500 0.861 Si
0.000 0.500 0.282 Ru
0.000 0.500 0.718 Ru
0.500 0.000 0.282 Ru
0.500 0.000 0.718 Ru
0.500 0.500 0.500 Ru
```

[6]
A plane-wave DFT calculation with GGA-PBE was carried out for a relaxed PaTaNbRu crystal.

Results
calculated volume	18.76	A^3/atom
total magnetic moment	0.00	μB per formula unit
raw total energy	-41.33	eV for the cell shown

Cell and atoms, written as POSCAR:
```
PaTaNbRu
1.0
0.000 3.348 3.348
3.348 0.000 3.348
3.348 3.348 0.000
Pa Ta Nb Ru
1 1 1 1
direct
0.000 0.000 0.000 Pa
0.500 0.500 0.500 Ta
0.750 0.750 0.750 Nb
0.250 0.250 0.250 Ru
```

[7]
A plane-wave DFT calculation with GGA-PBE was carried out for a relaxed PaTiNbRu crystal.

Results
calculated volume	18.24	A^3/atom
total magnetic moment	0.00	μB per formula unit
raw total energy	-37.71	eV for the cell shown

Cell and atoms, written as POSCAR:
```
PaTiNbRu
1.0
0.000 3.316 3.316
3.316 0.000 3.316
3.316 3.316 0.000
Pa Ti Nb Ru
1 1 1 1
direct
0.000 0.000 0.000 Pa
0.500 0.500 0.500 Ti
0.750 0.750 0.750 Nb
0.250 0.250 0.250 Ru
```

[8]
A plane-wave DFT calculation with GGA-PBE was carried out for a relaxed PaNbZnRu crystal.

Results
calculated volume	17.76	A^3/atom
total magnetic moment	0.00	μB per formula unit
raw total energy	-30.47	eV for the cell shown

Cell and atoms, written as POSCAR:
```
PaNbZnRu
1.0
0.000 3.287 3.287
3.287 0.000 3.287
3.287 3.287 0.000
Pa Nb Zn Ru
1 1 1 1
direct
0.000 0.000 0.000 Pa
0.750 0.750 0.750 Nb
0.500 0.500 0.500 Zn
0.250 0.250 0.250 Ru
```

[9]
A plane-wave DFT calculation with GGA-PBE was carried out for a relaxed ZrPaNbRu crystal.

Results
calculated volume	19.75	A^3/atom
total magnetic moment	0.00	μB per formula unit
raw total energy	-38.19	eV for the cell shown

Cell and atoms, written as POSCAR:
```
ZrPaNbRu
1.0
0.000 3.406 3.406
3.406 0.000 3.406
3.406 3.406 0.000
Zr Pa Nb Ru
1 1 1 1
direct
0.000 0.000 0.000 Zr
0.500 0.500 0.500 Pa
0.250 0.250 0.250 Nb
0.750 0.750 0.750 Ru
```

[10]
A plane-wave DFT calculation with GGA-PBE was carried out for a relaxed Pa2NbS8 crystal.

Results
calculated volume	32.80	A^3/atom
total magnetic moment	0.00	μB per formula unit
formation energy (no corrections)	-0.693	eV per atom

Cell and atoms, written as POSCAR:
```
Pa2NbS8
1.0
6.750 0.000 0.000
-3.375 5.846 0.000
0.000 0.000 9.144
Pa Nb S
2 1 8
direct
0.333 0.667 0.169 Pa
0.667 0.333 0.831 Pa
0.000 0.000 0.500 Nb
0.164 0.327 0.339 S
0.164 0.836 0.339 S
0.327 0.164 0.661 S
0.333 0.667 0.898 S
0.667 0.333 0.102 S
0.673 0.836 0.339 S
0.836 0.164 0.661 S
0.836 0.673 0.661 S
```

[11]
A plane-wave DFT calculation with GGA-PBE was carried out for a relaxed PaNbS crystal.

Results
calculated volume	19.39	A^3/atom
relative energy among the computed polymorphs	0	meV per atom
total magnetic moment	0.00	μB per formula unit
formation energy (no corrections)	-0.761	eV per atom

Cell and atoms, written as POSCAR:
```
PaNbS
1.0
5.275 -1.719 0.000
5.275 1.719 0.000
-3.304 0.000 6.415
Pa Nb S
2 2 2
direct
0.071 0.071 0.333 Pa
0.929 0.929 0.667 Pa
0.327 0.327 0.926 Nb
0.673 0.673 0.074 Nb
0.340 0.340 0.308 S
0.660 0.660 0.692 S
```

[12]
A plane-wave DFT calculation with GGA-PBE was carried out for a relaxed PaNbS crystal.

Results
calculated volume	19.89	A^3/atom
relative energy among the computed polymorphs	205	meV per atom
total magnetic moment	0.00	μB per formula unit
formation energy (no corrections)	-0.555	eV per atom

Cell and atoms, written as POSCAR:
```
PaNbS
1.0
3.230 0.000 0.000
-1.615 2.797 0.000
0.000 0.000 6.603
Pa Nb S
1 1 1
direct
0.000 0.000 0.000 Pa
0.333 0.667 0.592 Nb
0.667 0.333 0.343 S
```

[13]
A plane-wave DFT calculation with GGA-PBE was carried out for a relaxed PaNb2S5 crystal.

Results
calculated volume	27.88	A^3/atom
total magnetic moment	1.22	μB per formula unit
formation energy (no corrections)	-1.018	eV per atom

Cell and atoms, written as POSCAR:
```
PaNb2S5
1.0
2.746 -6.109 0.000
2.746 6.109 0.000
-1.519 0.000 6.647
Pa Nb S
1 2 5
direct
0.000 0.000 0.000 Pa
0.296 0.704 0.000 Nb
0.704 0.296 0.000 Nb
0.049 0.383 0.242 S
0.383 0.049 0.242 S
0.500 0.500 0.000 S
0.617 0.951 0.758 S
0.951 0.617 0.758 S
```

[14]
A plane-wave DFT calculation with GGA-PBE was carried out for a relaxed PaNbS2 crystal.

Results
calculated volume	19.18	A^3/atom
relative energy among the computed polymorphs	0	meV per atom
total magnetic moment	0.02	μB per formula unit
formation energy (no corrections)	-1.109	eV per atom

Cell and atoms, written as POSCAR:
```
PaNbS2
1.0
7.288 0.000 0.000
0.000 6.422 0.000
-0.612 0.000 6.558
Pa Nb S
4 4 8
direct
0.193 0.094 0.309 Pa
0.193 0.406 0.809 Pa
0.807 0.594 0.191 Pa
0.807 0.906 0.691 Pa
0.422 0.703 0.501 Nb
0.422 0.797 0.001 Nb
0.578 0.203 0.999 Nb
0.578 0.297 0.499 Nb
0.079 0.730 0.492 S
0.079 0.770 0.992 S
0.388 0.052 0.698 S
0.388 0.448 0.198 S
0.612 0.552 0.802 S
0.612 0.948 0.302 S
0.921 0.230 0.008 S
0.921 0.270 0.508 S
```

[15]
A plane-wave DFT calculation with GGA-PBE was carried out for a relaxed PaNbS crystal.

Results
calculated volume	19.18	A^3/atom
relative energy among the computed polymorphs	264	meV per atom
total magnetic moment	0.47	μB per formula unit
formation energy (no corrections)	-0.497	eV per atom

Cell and atoms, written as POSCAR:
```
PaNbS
1.0
-1.631 1.631 5.407
1.631 -1.631 5.407
1.631 1.631 -5.407
Pa Nb S
1 1 1
direct
0.000 0.000 0.000 Pa
0.701 0.701 0.000 Nb
0.309 0.309 0.000 S
```

[16]
A plane-wave DFT calculation with GGA-PBE was carried out for a relaxed PaNbS2 crystal.

Results
calculated volume	18.30	A^3/atom
relative energy among the computed polymorphs	38	meV per atom
total magnetic moment	0.00	μB per formula unit
formation energy (no corrections)	-1.071	eV per atom

Cell and atoms, written as POSCAR:
```
PaNbS2
1.0
1.724 0.995 7.107
-1.724 0.995 7.107
0.000 -1.991 7.107
Pa Nb S
1 1 2
direct
0.000 0.000 0.000 Pa
0.831 0.831 0.831 Nb
0.425 0.425 0.425 S
0.575 0.575 0.575 S
```

[17]
A plane-wave DFT calculation with GGA-PBE was carried out for a relaxed PaNbS2 crystal.

Results
calculated volume	20.28	A^3/atom
relative energy among the computed polymorphs	398	meV per atom
total magnetic moment	0.00	μB per formula unit
formation energy (no corrections)	-0.711	eV per atom

Cell and atoms, written as POSCAR:
```
PaNbS2
1.0
1.622 0.937 8.898
-1.622 0.937 8.898
0.000 -1.873 8.898
Pa Nb S
1 1 2
direct
0.000 0.000 0.000 Pa
0.500 0.500 0.500 Nb
0.104 0.104 0.104 S
0.896 0.896 0.896 S
```

[18]
A plane-wave DFT calculation with GGA-PBE was carried out for a relaxed PaNb6S8 crystal.

Results
calculated volume	18.94	A^3/atom
total magnetic moment	0.30	μB per formula unit
formation energy (no corrections)	-0.980	eV per atom

Cell and atoms, written as POSCAR:
```
PaNb6S8
1.0
4.551 2.627 3.960
-4.551 2.627 3.960
0.000 -5.255 3.960
Pa Nb S
1 6 8
direct
0.000 0.000 0.000 Pa
0.200 0.412 0.557 Nb
0.412 0.557 0.200 Nb
0.443 0.800 0.588 Nb
0.557 0.200 0.412 Nb
0.588 0.443 0.800 Nb
0.800 0.588 0.443 Nb
0.131 0.767 0.380 S
0.230 0.230 0.230 S
0.233 0.620 0.869 S
0.380 0.131 0.767 S
0.620 0.869 0.233 S
0.767 0.380 0.131 S
0.770 0.770 0.770 S
0.869 0.233 0.620 S
```

[19]
A plane-wave DFT calculation with GGA-PBE was carried out for a relaxed PaNb4S8 crystal.

Results
calculated volume	20.17	A^3/atom
total magnetic moment	0.00	μB per formula unit
formation energy (no corrections)	-1.173	eV per atom

Cell and atoms, written as POSCAR:
```
PaNb4S8
1.0
3.449 1.991 6.362
-3.449 1.991 6.362
0.000 -3.983 6.362
Pa Nb S
1 4 8
direct
0.000 0.000 0.000 Pa
0.000 0.000 0.500 Nb
0.000 0.500 0.000 Nb
0.500 0.000 0.000 Nb
0.500 0.500 0.500 Nb
0.246 0.246 0.246 S
0.258 0.258 0.738 S
0.258 0.738 0.258 S
0.262 0.742 0.742 S
0.738 0.258 0.258 S
0.742 0.262 0.742 S
0.742 0.742 0.262 S
0.754 0.754 0.754 S
```

[20]
A plane-wave DFT calculation with GGA-PBE was carried out for a relaxed PaNb2S3 crystal.

Results
calculated volume	19.05	A^3/atom
total magnetic moment	0.00	μB per formula unit
formation energy (no corrections)	-0.887	eV per atom

Cell and atoms, written as POSCAR:
```
PaNb2S3
1.0
9.586 -1.699 0.000
9.586 1.699 0.000
-1.402 0.000 7.019
Pa Nb S
2 4 6
direct
0.170 0.170 0.467 Pa
0.830 0.830 0.533 Pa
0.178 0.178 0.960 Nb
0.460 0.460 0.649 Nb
0.540 0.540 0.351 Nb
0.822 0.822 0.040 Nb
0.071 0.071 0.133 S
0.278 0.278 0.789 S
0.398 0.398 0.292 S
0.602 0.602 0.708 S
0.722 0.722 0.211 S
0.929 0.929 0.867 S
```

[21]
A plane-wave DFT calculation with GGA-PBE was carried out for a relaxed PaNb2Se4S2 crystal.

Results
calculated volume	26.64	A^3/atom
total magnetic moment	2.40	μB per formula unit
formation energy (no corrections)	-1.000	eV per atom

Cell and atoms, written as POSCAR:
```
PaNb2Se4S2
1.0
3.599 0.000 0.000
-1.800 3.117 0.000
0.000 0.000 21.369
Pa Nb Se S
1 2 4 2
direct
0.000 0.000 0.000 Pa
0.000 0.000 0.656 Nb
0.667 0.333 0.329 Nb
0.000 0.000 0.252 Se
0.000 0.000 0.406 Se
0.667 0.333 0.579 Se
0.667 0.333 0.733 Se
0.667 0.333 0.080 S
0.667 0.333 0.920 S
```

[22]
A plane-wave DFT calculation with GGA-PBE was carried out for a relaxed PaNbSb2 crystal.

Results
calculated volume	23.08	A^3/atom
relative energy among the computed polymorphs	75	meV per atom
total magnetic moment	0.00	μB per formula unit
formation energy (no corrections)	-0.252	eV per atom

Cell and atoms, written as POSCAR:
```
PaNbSb2
1.0
5.026 0.000 0.000
0.000 5.026 0.000
0.000 0.000 3.654
Pa Nb Sb
1 1 2
direct
0.000 0.000 0.000 Pa
0.500 0.500 0.000 Nb
0.000 0.500 0.500 Sb
0.500 0.000 0.500 Sb
```

[23]
A plane-wave DFT calculation with GGA-PBE was carried out for a relaxed PaNb2Sb2 crystal.

Results
calculated volume	24.51	A^3/atom
total magnetic moment	0.47	μB per formula unit
formation energy (no corrections)	0.213	eV per atom

Cell and atoms, written as POSCAR:
```
PaNb2Sb2
1.0
-3.294 3.294 5.649
3.294 -3.294 5.649
3.294 3.294 -5.649
Pa Nb Sb
2 4 4
direct
0.000 0.000 0.000 Pa
0.750 0.250 0.500 Pa
0.199 0.509 0.689 Nb
0.259 0.070 0.811 Nb
0.259 0.449 0.189 Nb
0.820 0.509 0.311 Nb
0.502 0.217 0.715 Sb
0.502 0.787 0.285 Sb
0.537 0.752 0.785 Sb
0.967 0.752 0.215 Sb
```

[24]
A plane-wave DFT calculation with GGA-PBE was carried out for a relaxed PaNbSb2 crystal.

Results
calculated volume	22.85	A^3/atom
relative energy among the computed polymorphs	0	meV per atom
total magnetic moment	0.00	μB per formula unit
formation energy (no corrections)	-0.327	eV per atom

Cell and atoms, written as POSCAR:
```
PaNbSb2
1.0
0.000 3.575 3.575
3.575 0.000 3.575
3.575 3.575 0.000
Pa Nb Sb
1 1 2
direct
0.000 0.000 0.000 Pa
0.500 0.500 0.500 Nb
0.250 0.250 0.250 Sb
0.750 0.750 0.750 Sb
```

[25]
A plane-wave DFT calculation with GGA-PBE was carried out for a relaxed Pa2NbSb2 crystal.

Results
calculated volume	24.47	A^3/atom
total magnetic moment	0.00	μB per formula unit
formation energy (no corrections)	-0.304	eV per atom

Cell and atoms, written as POSCAR:
```
Pa2NbSb2
1.0
2.539 -7.883 0.000
2.539 7.883 0.000
0.000 0.000 6.114
Pa Nb Sb
4 2 4
direct
0.008 0.992 0.500 Pa
0.196 0.804 0.298 Pa
0.804 0.196 0.798 Pa
0.992 0.008 0.000 Pa
0.386 0.614 0.219 Nb
0.614 0.386 0.719 Nb
0.181 0.819 0.797 Sb
0.425 0.575 0.735 Sb
0.575 0.425 0.235 Sb
0.819 0.181 0.297 Sb
```